(1)
DFT (GGA-PBE) results for an optimized crystal structure of ScNiIr4.

Cell: 7.3101 7.3101 7.3101 Å, 90.00 90.00 90.00°
Space group F-43m (No. 216)
Asymmetric unit:
Sc 0.0000 0.0000 0.0000 [4 per cell]
Ni 0.2500 0.2500 0.2500 [4 per cell]
Ir 0.1248 0.1248 0.6248 [16 per cell]

Properties
E_form in eV per atom: -0.09
Calculated total energy in Ry/atom: -0.58895
Total magnetic moment in μB/cell: 6.3
DOS at the Fermi energy in states/eV per atom: 1.97

(2)
DFT (GGA-PBE) results for an optimized crystal structure of CsK2CdSn.

Cell: 6.9762 6.9762 5.6342 Å, 90.00 90.00 90.00°
Space group P4/mmm (No. 123)
Asymmetric unit:
Cs 0.0000 0.0000 0.0000 [1 per cell]
K 0.0000 0.5000 0.5000 [2 per cell]
Cd 0.5000 0.5000 0.0000 [1 per cell]
Sn 0.5000 0.5000 0.5000 [1 per cell]

Properties
E_form in eV per atom: -0.02
Calculated total energy in Ry/atom: -0.11835
Total magnetic moment in μB/cell: 0.0
DOS at the Fermi energy in states/eV per atom: 0.53

(3)
DFT (GGA-PBE) results for an optimized crystal structure of BTeNF2.

Cell: 4.6907 4.6907 2.7387 Å, 90.00 90.00 90.00°
Space group P4/mmm (No. 123)
Asymmetric unit:
B 0.0000 0.0000 0.0000 [1 per cell]
Te 0.5000 0.5000 0.5000 [1 per cell]
N 0.0000 0.0000 0.5000 [1 per cell]
F 0.0000 0.5000 0.0000 [2 per cell]

Properties
Formation energy from raw total energies in meV per atom: -541
Calculated total energy in Ry/atom: -0.36150
Total magnetic moment in μB/cell: 0.0
DOS at the Fermi energy in states/eV per atom: 0.34

(4)
DFT (GGA-PBE) results for an optimized crystal structure of Nb4PtRh5.

Cell: 8.3793 8.9184 4.5488 Å, 90.00 90.00 90.00°
Space group Pmmn (No. 59, origin choice 2)
Asymmetric unit:
Nb 0.0432 0.2500 0.0791 [4 per cell]
Nb 0.2500 0.5494 0.2388 [4 per cell]
Pt 0.2500 0.7500 0.6874 [2 per cell]
Rh 0.0849 0.0278 0.7457 [8 per cell]
Rh 0.2500 0.2500 0.4754 [2 per cell]

Properties
E_form in eV per atom: -0.29
Calculated total energy in Ry/atom: -0.63213
Total magnetic moment in μB/cell: 0.0
DOS at the Fermi energy in states/eV per atom: 0.74